Computed, not measured: a relaxed ErTm2S3 crystal at the PBE level of DFT.

Lattice parameters (Å, degrees): 6.658 6.658 6.658 146.29 131.86 60.06
Fractional positions:
Er  0.000  0.000  0.000
Tm  0.334  0.334  0.000
Tm  0.666  0.666  0.000
S  0.168  0.668  0.500
S  0.500  0.000  0.500
S  0.832  0.332  0.500

The symmetry is Immm, No. 71. Its formation energy without anion corrections is -1.94 eV/atom.



Computed, not measured: a relaxed Dy2AlOs3 crystal at the PBE level of DFT.

Lattice parameters (Å, degrees): 5.319 5.319 5.319 61.04 61.04 61.04
Fractional positions:
Dy  0.122  0.122  0.122
Dy  0.878  0.878  0.878
Al  0.500  0.500  0.500
Os  0.000  0.500  0.500
Os  0.500  0.000  0.500
Os  0.500  0.500  0.000

The symmetry is R-3m, No. 166. As for the calculated formation energy: -2.3 eV per formula unit.



Computed, not measured: a relaxed Hf5ZnRh4 crystal at the PBE level of DFT.

Lattice parameters (Å, degrees): 3.320 3.320 15.909 90.00 90.00 90.00
Fractional positions:
Hf  0.000  0.000  0.000
Hf  0.000  0.000  0.200
Hf  0.000  0.000  0.398
Hf  0.000  0.000  0.602
Hf  0.000  0.000  0.800
Zn  0.500  0.500  0.500
Rh  0.500  0.500  0.099
Rh  0.500  0.500  0.298
Rh  0.500  0.500  0.702
Rh  0.500  0.500  0.901

The symmetry is P4/mmm, No. 123. As for the calculated formation energy: -7.4 eV per formula unit.



Computed, not measured: a relaxed CaPm5Pr4 crystal at the PBE level of DFT.

Lattice parameters (Å, degrees): 3.708 3.708 26.113 90.00 90.00 90.00
Fractional positions:
Ca  0.000  0.000  0.000
Pm  0.500  0.500  0.106
Pm  0.500  0.500  0.302
Pm  0.500  0.500  0.500
Pm  0.500  0.500  0.698
Pm  0.500  0.500  0.894
Pr  0.000  0.000  0.201
Pr  0.000  0.000  0.400
Pr  0.000  0.000  0.600
Pr  0.000  0.000  0.799

The symmetry is P4/mmm, No. 123. As for the calculated formation energy: 0.3 eV per formula unit.



Computed, not measured: a relaxed Sm3MgHg2 crystal at the PBE level of DFT.

Lattice parameters (Å, degrees): 8.573 8.573 3.812 90.00 90.00 143.87
Fractional positions:
Sm  0.000  0.000  0.000
Sm  0.330  0.670  0.000
Sm  0.670  0.330  0.000
Mg  0.500  0.500  0.500
Hg  0.155  0.845  0.500
Hg  0.845  0.155  0.500

The symmetry is Cmmm, No. 65. As for the calculated formation energy: -2.1 eV per formula unit.



Computed, not measured: a relaxed LaSb2Mo crystal at the PBE level of DFT.

Lattice parameters (Å, degrees): 5.076 5.076 6.747 111.32 111.32 42.71
Fractional positions:
La  0.000  0.000  0.000
Sb  0.200  0.200  0.703
Sb  0.401  0.401  0.360
Mo  0.700  0.700  0.397

The symmetry is Cm, No. 8. Its formation energy without anion corrections is -0.18 eV/atom.



Computed, not measured: a relaxed La2YPt crystal at the PBE level of DFT.

Lattice parameters (Å, degrees): 3.634 3.634 9.083 90.00 90.00 90.00
Fractional positions:
La  0.000  0.000  0.000
La  0.500  0.500  0.323
Y  0.500  0.500  0.694
Pt  0.000  0.000  0.525

The symmetry is P4mm, No. 99. As for the calculated formation energy: -2.2 eV per formula unit.



Computed, not measured: a relaxed HoTm3Th2Sb6 crystal at the PBE level of DFT.

Lattice parameters (Å, degrees): 9.830 9.830 8.784 102.73 102.73 25.94
Fractional positions:
Ho  0.000  0.000  0.000
Tm  0.000  0.000  0.500
Tm  0.332  0.332  0.166
Tm  0.668  0.668  0.834
Th  0.335  0.335  0.669
Th  0.665  0.665  0.331
Sb  0.164  0.164  0.590
Sb  0.167  0.167  0.074
Sb  0.496  0.496  0.250
Sb  0.504  0.504  0.750
Sb  0.833  0.833  0.926
Sb  0.836  0.836  0.410

The symmetry is C2/m, No. 12. Its formation energy without anion corrections is -1.02 eV/atom.



Computed, not measured: a relaxed Na2YInO4 crystal at the PBE level of DFT.

Lattice parameters (Å, degrees): 5.780 3.366 5.932 90.00 109.28 90.00
Fractional positions:
Na  0.000  0.000  0.000
Na  0.500  0.500  0.000
Y  0.000  0.500  0.500
In  0.500  0.000  0.500
O  0.240  0.000  0.716
O  0.269  0.500  0.285
O  0.731  0.500  0.715
O  0.760  0.000  0.284

The symmetry is P2/m, No. 10. Its formation energy without anion corrections is -2.18 eV/atom.



Computed, not measured: a relaxed MnB2RuN crystal at the PBE level of DFT.

Lattice parameters (Å, degrees): 3.697 3.697 4.403 90.00 90.00 90.00
Fractional positions:
Mn  0.000  0.000  0.000
B  0.000  0.500  0.000
B  0.500  0.000  0.000
Ru  0.000  0.000  0.500
N  0.500  0.500  0.500

The symmetry is P4/mmm, No. 123. Its formation energy without anion corrections is 2.01 eV/atom.



Computed, not measured: a relaxed Ac2SeS crystal at the PBE level of DFT.

Lattice parameters (Å, degrees): 5.350 5.350 5.350 60.00 60.00 60.00
Fractional positions:
Ac  0.250  0.250  0.250
Ac  0.750  0.750  0.750
Se  0.000  0.000  0.000
S  0.500  0.500  0.500

The symmetry is Fm-3m, No. 225. Its formation energy without anion corrections is -1.64 eV/atom.



Computed, not measured: a relaxed ErTiSb3 crystal at the PBE level of DFT.

Lattice parameters (Å, degrees): 12.835 6.286 6.135 90.00 90.00 90.00
Fractional positions:
Er  0.183  0.010  0.250
Er  0.183  0.490  0.750
Er  0.817  0.510  0.250
Er  0.817  0.990  0.750
Ti  0.405  0.750  0.000
Ti  0.405  0.750  0.500
Ti  0.595  0.250  0.000
Ti  0.595  0.250  0.500
Sb  0.003  0.750  0.000
Sb  0.003  0.750  0.500
Sb  0.265  0.501  0.250
Sb  0.265  0.999  0.750
Sb  0.426  0.113  0.250
Sb  0.426  0.387  0.750
Sb  0.574  0.613  0.250
Sb  0.574  0.887  0.750
Sb  0.735  0.001  0.250
Sb  0.735  0.499  0.750
Sb  0.997  0.250  0.000
Sb  0.997  0.250  0.500

The symmetry is Pbcm, No. 57. Its formation energy without anion corrections is -0.64 eV/atom.